Entry 1:
Material: PmThZn
Method: DFT, GGA-PBE
State: relaxed

Cell lengths 7.7132, 7.7132, 7.7132 Å; angles 51.76, 51.76, 51.76 degrees
With the nearest neighbours (Å) after each atom.
Fractional positions:
Pm  0.0799  0.2545  0.6657  3 Zn 2.91-2.96
Pm  0.2545  0.6657  0.0799  3 Zn 2.91-2.96
Pm  0.6657  0.0799  0.2545  3 Zn 2.91-2.96
Th  0.1687  0.7187  0.6208  3 Zn 3.19-3.28, 4 Th 3.41-3.42
Th  0.6208  0.1687  0.7187  3 Zn 3.19-3.28, 4 Th 3.41-3.42
Th  0.7187  0.6208  0.1687  3 Zn 3.19-3.28, 4 Th 3.41-3.42
Zn  0.1075  0.1075  0.1075  1 Zn 2.35
Zn  0.2254  0.2254  0.2254  1 Zn 2.35
Zn  0.7107  0.7107  0.7107  3 Pm 2.91, 3 Th 3.19

## Properties
Density, Mg/m³: 8.4
Volume, A^3/atom: 29.1
Formation energy from the elements, eV per atom: 0.06
Relative energy among the computed polymorphs, eV/atom: 0.1777

Entry 2:
Material: Pm2ThZn
Method: DFT, GGA-PBE
State: relaxed

Cell lengths 12.0578, 12.0578, 12.0578 Å; angles 16.94, 16.94, 16.94 degrees
With the nearest neighbours (Å) after each atom.
Fractional positions:
Pm  0.0871  0.0871  0.0871  1 Zn 3.11
Pm  0.9129  0.9129  0.9129  1 Zn 3.11
Th  0.5000  0.5000  0.5000  6 Pm 3.50, 6 Th 3.55
Zn  0.0000  0.0000  0.0000  2 Pm 3.11

## Properties
Density, Mg/m³: 7.5
Volume, A^3/atom: 32.4
Formation energy from the elements, eV per atom: 0.25
Relative energy among the computed polymorphs, eV/atom: 0.3965

Entry 3:
Material: Pm3Th2Zn3
Method: DFT, GGA-PBE
State: relaxed

Cell lengths 11.5682, 11.5682, 11.5682 Å; angles 161.91, 153.17, 32.55 degrees
With the nearest neighbours (Å) after each atom.
Fractional positions:
Pm  0.0000  0.0000  0.0000  8 Zn 3.09-3.24
Pm  0.3833  0.8833  0.5000  6 Zn 3.17-3.24
Pm  0.6167  0.1167  0.5000  6 Zn 3.17-3.24
Th  0.2302  0.2302  0.0000  2 Zn 3.18, 4 Th 3.36
Th  0.7698  0.7698  0.0000  2 Zn 3.18, 4 Th 3.36
Zn  0.1126  0.6126  0.5000  6 Pm 3.09-3.24, 2 Th 3.18
Zn  0.5000  0.5000  0.0000  8 Pm 3.17-3.24
Zn  0.8874  0.3874  0.5000  6 Pm 3.09-3.24, 2 Th 3.18

## Properties
Density, Mg/m³: 8.4
Volume, A^3/atom: 27.1
Formation energy from the elements, eV per atom: -0.17

Entry 4:
Material: Pm2ThZn
Method: DFT, GGA-PBE
State: relaxed

Cell lengths 4.8218, 4.8218, 4.8900 Å; angles 90.00, 90.00, 90.00 degrees
With the nearest neighbours (Å) after each atom.
Fractional positions:
Pm  0.0000  0.5000  0.0000  4 Pm 3.41, 4 Zn 3.43, 4 Th 3.43
Pm  0.5000  0.0000  0.0000  4 Pm 3.41, 4 Zn 3.43, 4 Th 3.43
Th  0.0000  0.0000  0.5000  4 Zn 3.41, 8 Pm 3.43
Zn  0.5000  0.5000  0.5000  4 Th 3.41, 8 Pm 3.43

## Properties
Density, Mg/m³: 8.6
Volume, A^3/atom: 28.4
Formation energy from the elements, eV per atom: 0.01
Relative energy among the computed polymorphs, eV/atom: 0.1509

Entry 5:
Material: PmTh2Zn
Method: DFT, GGA-PBE
State: relaxed

Cell lengths 3.6646, 3.6646, 8.7216 Å; angles 90.00, 90.00, 90.00 degrees
With the nearest neighbours (Å) after each atom.
Fractional positions:
Pm  0.0000  0.0000  0.0000  8 Th 3.65, 4 Pm 3.66
Th  0.5000  0.5000  0.2940  4 Zn 3.15
Th  0.5000  0.5000  0.7060  4 Zn 3.15
Zn  0.0000  0.0000  0.5000  8 Th 3.15

## Properties
Density, Mg/m³: 9.6
Volume, A^3/atom: 29.3
Formation energy from the elements, eV per atom: -0.02
Relative energy among the computed polymorphs, eV/atom: 0.0000

Entry 6:
Material: PmTh2Zr
Method: DFT, GGA-PBE
State: relaxed

Cell lengths 3.4965, 3.4965, 9.9196 Å; angles 90.00, 90.00, 90.00 degrees
With the nearest neighbours (Å) after each atom.
Fractional positions:
Pm  0.0000  0.0000  0.0000  4 Pm 3.50, 8 Th 3.62
Th  0.5000  0.5000  0.2667  4 Zr 3.39, 4 Th 3.50, 4 Pm 3.62
Th  0.5000  0.5000  0.7333  4 Zr 3.39, 4 Th 3.50, 4 Pm 3.62
Zr  0.0000  0.0000  0.5000  8 Th 3.39, 4 Zr 3.50

## Properties
Density, Mg/m³: 9.6
Volume, A^3/atom: 30.3
Formation energy from the elements, eV per atom: 0.10
Relative energy among the computed polymorphs, eV/atom: 0.0000

Entry 7:
Material: PmTh2Zr
Method: DFT, GGA-PBE
State: relaxed

Cell lengths 11.5456, 11.5456, 11.5456 Å; angles 17.44, 17.44, 17.44 degrees
With the nearest neighbours (Å) after each atom.
Fractional positions:
Pm  0.0000  0.0000  0.0000  6 Pm 3.50, 6 Th 3.54-3.66
Th  0.5813  0.5813  0.5813  3 Zr 3.34, 6 Th 3.50, 3 Pm 3.54
Th  0.7561  0.7561  0.7561  3 Zr 3.41, 6 Th 3.50, 3 Pm 3.66
Zr  0.1698  0.1698  0.1698  6 Th 3.34-3.41, 6 Zr 3.50

## Properties
Density, Mg/m³: 9.6
Volume, A^3/atom: 30.2
Formation energy from the elements, eV per atom: 0.12
Relative energy among the computed polymorphs, eV/atom: 0.0187

Entry 8:
Material: PmTh2Zr
Method: DFT, GGA-PBE
State: relaxed

Cell lengths 4.9462, 4.9462, 4.9497 Å; angles 90.00, 90.00, 90.00 degrees
With the nearest neighbours (Å) after each atom.
Fractional positions:
Pm  0.0000  0.0000  0.0000  4 Zr 3.50, 8 Th 3.50
Th  0.0000  0.5000  0.5000  4 Th 3.50, 4 Zr 3.50, 4 Pm 3.50
Th  0.5000  0.0000  0.5000  4 Th 3.50, 4 Zr 3.50, 4 Pm 3.50
Zr  0.5000  0.5000  0.0000  4 Pm 3.50, 8 Th 3.50

## Properties
Density, Mg/m³: 9.6
Volume, A^3/atom: 30.3
Formation energy from the elements, eV per atom: 0.14
Relative energy among the computed polymorphs, eV/atom: 0.0363